one) ## Nd3SmTm6 (GGA-PBE)

Data for an optimized crystal structure of Nd3SmTm6.

The structure in POSCAR format:
```
Nd3SmTm6
1.0
-2.249 1.934 1.897
1.037 -8.433 9.826
10.540 9.034 3.289
Tm Sm Nd
12 2 6
direct
0.750 0.120 0.486 Tm
0.750 0.806 0.074 Tm
0.250 0.271 0.700 Tm
0.250 0.221 0.287 Tm
0.250 0.655 0.877 Tm
0.750 0.729 0.300 Tm
0.750 0.501 0.691 Tm
0.250 0.194 0.926 Tm
0.750 0.779 0.713 Tm
0.250 0.499 0.309 Tm
0.750 0.345 0.123 Tm
0.250 0.880 0.514 Tm
0.750 0.041 0.720 Sm
0.250 0.959 0.280 Sm
0.250 0.372 0.496 Nd
0.250 0.579 0.098 Nd
0.750 0.628 0.504 Nd
0.250 0.925 0.899 Nd
0.750 0.075 0.101 Nd
0.750 0.421 0.902 Nd
```

Summary:
Density of states at the Fermi level (states/eV/f.u.): 14.36
Calculated volume (Å³/atom): 32.10
Total magnetization (μB/cell): 0.00
Mass density (g cm⁻³): 8.3



two) ## Nd3SmTm6 (GGA-PBE)

Data for an optimized crystal structure of Nd3SmTm6.

The structure in POSCAR format:
```
Nd3SmTm6
1.0
-6.003 -1.636 -1.857
0.578 -7.659 5.765
0.917 5.423 3.461
Tm Nd Sm
6 3 1
direct
0.868 0.313 0.301 Tm
0.132 0.687 0.699 Tm
0.446 0.314 0.449 Tm
0.554 0.686 0.551 Tm
0.359 0.049 0.702 Tm
0.641 0.951 0.298 Tm
0.014 0.308 0.864 Nd
0.000 0.000 0.000 Nd
0.986 0.692 0.136 Nd
0.500 0.500 0.000 Sm
```

Summary:
Density of states at the Fermi level (states/eV/f.u.): 12.41
Calculated volume (Å³/atom): 32.25
Total magnetization (μB/cell): 0.00
Mass density (g cm⁻³): 8.2



Relative energies with respect to the most stable structure, expressed in eV/atom: one) 0.000; two) 0.111.



one) ## Nd2Sm2Tm3 (GGA-PBE)

Data for an optimized crystal structure of Nd2Sm2Tm3.

The structure in POSCAR format:
```
Nd2Sm2Tm3
1.0
5.728 0.000 1.610
2.594 4.645 1.766
0.697 -1.188 8.517
Tm Nd Sm
3 2 2
direct
0.642 0.147 0.569 Tm
0.500 0.000 0.000 Tm
0.358 0.853 0.431 Tm
0.214 0.711 0.861 Nd
0.786 0.289 0.139 Nd
0.931 0.431 0.708 Sm
0.069 0.569 0.292 Sm
```

Summary:
Density of states at the Fermi level (states/eV/f.u.): 13.55
Calculated volume (Å³/atom): 32.63
Total magnetization (μB/cell): 0.00
Mass density (g cm⁻³): 8.0



two) ## Nd2Sm2Tm3 (GGA-PBE)

Data for an optimized crystal structure of Nd2Sm2Tm3.

The structure in POSCAR format:
```
Nd2Sm2Tm3
1.0
-1.081 -5.207 1.831
0.396 -1.200 -3.180
12.216 0.912 1.176
Nd Tm Sm
2 3 2
direct
0.141 0.000 0.281 Nd
0.859 0.000 0.719 Nd
0.000 0.000 0.000 Tm
0.710 0.000 0.421 Tm
0.290 0.000 0.579 Tm
0.576 0.500 0.151 Sm
0.424 0.500 0.849 Sm
```

Summary:
Density of states at the Fermi level (states/eV/f.u.): 12.28
Calculated volume (Å³/atom): 32.94
Total magnetization (μB/cell): 0.00
Mass density (g cm⁻³): 7.9



Relative energies with respect to the most stable structure, expressed in eV/atom: one) 0.000; two) 0.067.



one) ## Nd3SmTm3 (GGA-PBE)

Data for an optimized crystal structure of Nd3SmTm3.

The structure in POSCAR format:
```
Nd3SmTm3
1.0
-4.121 -1.753 -3.608
6.431 -5.435 -4.705
-4.927 -3.697 7.423
Nd Tm Sm
6 6 2
direct
0.750 0.757 0.807 Nd
0.250 0.949 0.757 Nd
0.750 0.193 0.949 Nd
0.250 0.807 0.051 Nd
0.750 0.051 0.243 Nd
0.250 0.243 0.193 Nd
0.250 0.520 0.616 Tm
0.250 0.095 0.480 Tm
0.250 0.384 0.904 Tm
0.750 0.905 0.520 Tm
0.750 0.480 0.384 Tm
0.750 0.616 0.096 Tm
0.750 0.333 0.667 Sm
0.250 0.667 0.333 Sm
```

Summary:
Density of states at the Fermi level (states/eV/f.u.): 12.27
Calculated volume (Å³/atom): 33.09
Total magnetization (μB/cell): 0.00
Mass density (g cm⁻³): 7.8



two) ## Nd3SmTm3 (GGA-PBE)

Data for an optimized crystal structure of Nd3SmTm3.

The structure in POSCAR format:
```
Nd3SmTm3
1.0
2.225 -6.586 5.547
1.497 -8.257 -2.945
8.163 -3.530 -0.006
Tm Nd Sm
6 6 2
direct
0.173 0.937 0.717 Tm
0.283 0.827 0.063 Tm
0.827 0.063 0.283 Tm
0.063 0.283 0.827 Tm
0.937 0.717 0.173 Tm
0.717 0.173 0.937 Tm
0.718 0.566 0.072 Nd
0.928 0.282 0.434 Nd
0.072 0.718 0.566 Nd
0.282 0.434 0.928 Nd
0.434 0.928 0.282 Nd
0.566 0.072 0.718 Nd
0.656 0.656 0.656 Sm
0.344 0.344 0.344 Sm
```

Summary:
Density of states at the Fermi level (states/eV/f.u.): 10.04
Calculated volume (Å³/atom): 34.27
Total magnetization (μB/cell): 0.00
Mass density (g cm⁻³): 7.5



Relative energies with respect to the most stable structure, expressed in eV/atom: one) 0.000; two) 0.172.



one) ## Nd6SmTm12 (GGA-PBE)

Data for an optimized crystal structure of Nd6SmTm12.

The structure in POSCAR format:
```
Nd6SmTm12
1.0
8.606 -0.157 -1.186
-1.340 8.503 -1.186
-0.136 -0.157 8.687
Nd Tm Sm
6 12 1
direct
0.900 0.346 0.900 Nd
0.100 0.654 0.100 Nd
0.900 0.900 0.346 Nd
0.654 0.100 0.100 Nd
0.346 0.900 0.900 Nd
0.100 0.100 0.654 Nd
0.756 0.244 0.500 Tm
0.920 0.645 0.645 Tm
0.645 0.645 0.920 Tm
0.500 0.756 0.244 Tm
0.355 0.355 0.080 Tm
0.355 0.080 0.355 Tm
0.244 0.756 0.500 Tm
0.080 0.355 0.355 Tm
0.244 0.500 0.756 Tm
0.756 0.500 0.244 Tm
0.500 0.244 0.756 Tm
0.645 0.920 0.645 Tm
0.000 0.000 0.000 Sm
```

Summary:
Density of states at the Fermi level (states/eV/f.u.): 31.54
Calculated volume (Å³/atom): 33.19
Total magnetization (μB/cell): 0.00
Mass density (g cm⁻³): 8.0



two) ## Nd6SmTm12 (GGA-PBE)

Data for an optimized crystal structure of Nd6SmTm12.

The structure in POSCAR format:
```
Nd6SmTm12
1.0
-7.498 1.002 4.117
2.797 0.941 8.091
-0.227 8.579 0.722
Nd Sm Tm
6 1 12
direct
0.768 0.165 0.768 Nd
0.165 0.768 0.768 Nd
0.232 0.232 0.835 Nd
0.835 0.232 0.232 Nd
0.232 0.835 0.232 Nd
0.768 0.768 0.165 Nd
0.000 0.000 0.000 Sm
0.486 0.804 0.486 Tm
0.804 0.486 0.486 Tm
0.862 0.862 0.519 Tm
0.486 0.486 0.804 Tm
0.514 0.514 0.196 Tm
0.519 0.862 0.862 Tm
0.138 0.481 0.138 Tm
0.138 0.138 0.481 Tm
0.862 0.519 0.862 Tm
0.196 0.514 0.514 Tm
0.514 0.196 0.514 Tm
0.481 0.138 0.138 Tm
```

Summary:
Density of states at the Fermi level (states/eV/f.u.): 29.45
Calculated volume (Å³/atom): 32.17
Total magnetization (μB/cell): 0.00
Mass density (g cm⁻³): 8.3



Relative energies with respect to the most stable structure, expressed in eV/atom: one) 0.099; two) 0.000.